This record from Alexandria via LeMat-Bulk describes a relaxed Na2La2Y crystal. The functional is GGA-PBE.

Properties
For the total magnetization, the calculation gives 0.00 μB per atom. The value obtained for the energy relative to the elements is 358 meV per atom. Its volume is 350 Å³ per cell.

Unit cell a=9.728 b=9.728 c=3.701 alpha=90.00 beta=90.00 gamma=90.00
Space group P4/mbm (No. 127)
Symmetry-distinct sites (fractional):
Na (0.107, 0.393, 0.000) (multiplicity 4)
La (0.196, 0.696, 0.500) (multiplicity 4)
Y (0.000, 0.000, 0.000) (multiplicity 2)